1.
A plane-wave DFT calculation with PBE was carried out for crystalline KMg2InAu at its relaxed geometry.

Properties
As for the energy of formation from the pure elements: -0.14 eV per atom. Its density of states at the Fermi level is 0.4272 states/eV/atom.

Cell and atoms, written as extended XYZ:
```
5
Lattice="5.261 0.000 0.000 0.000 5.261 0.000 0.000 0.000 5.509" Properties=species:S:1:pos:R:3 pbc="T T T"
K 0.000 0.000 0.000
Mg 0.000 2.631 2.755
Mg 2.631 0.000 2.755
In 2.631 2.631 0.000
Au 2.631 2.631 2.755
```

---

2.
A plane-wave DFT calculation with PBE was carried out for crystalline KNa2InAu at its relaxed geometry.

Properties
As for the energy of formation from the pure elements: -0.04 eV per atom. Its density of states at the Fermi level is 0.5554 states/eV/atom.

Cell and atoms, written as extended XYZ:
```
5
Lattice="5.968 0.000 0.000 0.000 5.968 0.000 0.000 0.000 5.256" Properties=species:S:1:pos:R:3 pbc="T T T"
K 0.000 0.000 0.000
Na 0.000 2.984 2.628
Na 2.984 0.000 2.628
In 2.984 2.984 2.628
Au 2.984 2.984 0.000
```

---

3.
A plane-wave DFT calculation with PBE was carried out for crystalline KNaInAu2 at its relaxed geometry.

Properties
As for the energy of formation from the pure elements: -0.30 eV per atom. Its density of states at the Fermi level is 0.5561 states/eV/atom.

Cell and atoms, written as extended XYZ:
```
10
Lattice="4.844 0.000 0.000 0.000 4.844 0.000 0.000 0.000 11.718" Properties=species:S:1:pos:R:3 pbc="T T T"
K 0.000 0.000 0.000
K 2.422 2.422 5.859
Na 0.000 2.422 8.788
Na 2.422 0.000 2.929
In 0.000 2.422 2.929
In 2.422 0.000 8.788
Au 0.000 0.000 4.488
Au 0.000 0.000 7.230
Au 2.422 2.422 1.371
Au 2.422 2.422 10.347
```

---

4.
A plane-wave DFT calculation with PBE was carried out for crystalline K2NaIn3Au4 at its relaxed geometry.

Properties
As for the energy of formation from the pure elements: -0.30 eV per atom. Its density of states at the Fermi level is 0.3402 states/eV/atom.

Cell and atoms, written as extended XYZ:
```
10
Lattice="4.876 0.000 0.000 0.000 4.876 0.000 0.000 0.000 11.501" Properties=species:S:1:pos:R:3 pbc="T T T"
K 0.000 2.438 2.763
K 2.438 0.000 8.737
Na 0.000 0.000 5.750
In 0.000 2.438 10.101
In 2.438 0.000 1.399
In 2.438 2.438 5.750
Au 0.000 0.000 0.000
Au 0.000 2.438 7.317
Au 2.438 0.000 4.183
Au 2.438 2.438 0.000
```

---

5.
A plane-wave DFT calculation with PBE was carried out for crystalline K2NaInAu at its relaxed geometry.

Properties
As for the energy of formation from the pure elements: -0.09 eV per atom. Its density of states at the Fermi level is 0.7263 states/eV/atom.

Cell and atoms, written as extended XYZ:
```
5
Lattice="6.411 0.000 0.000 0.000 6.411 0.000 0.000 0.000 5.299" Properties=species:S:1:pos:R:3 pbc="T T T"
K 0.000 3.206 0.000
K 3.206 0.000 0.000
Na 0.000 0.000 2.649
In 3.206 3.206 2.649
Au 3.206 3.206 0.000
```

---

6.
A plane-wave DFT calculation with PBE was carried out for crystalline KNa2InAu at its relaxed geometry.

Properties
As for the energy of formation from the pure elements: -0.16 eV per atom. Its density of states at the Fermi level is 0.5775 states/eV/atom.

Cell and atoms, written as extended XYZ:
```
5
Lattice="5.738 0.000 0.000 0.000 5.738 0.000 0.000 0.000 5.295" Properties=species:S:1:pos:R:3 pbc="T T T"
K 0.000 0.000 0.000
Na 0.000 2.869 2.647
Na 2.869 0.000 2.647
In 2.869 2.869 0.000
Au 2.869 2.869 2.647
```

---

7.
A plane-wave DFT calculation with PBE was carried out for crystalline K2NaIn12Au3 at its relaxed geometry.

Properties
As for the energy of formation from the pure elements: 0.01 eV per atom. Its density of states at the Fermi level is 0.5234 states/eV/atom.

Cell and atoms, written as extended XYZ:
```
18
Lattice="5.535 3.196 4.815 -5.535 3.196 4.815 0.000 -6.392 4.815" Properties=species:S:1:pos:R:3 pbc="T T T"
K 0.000 0.000 1.630
K 0.000 0.000 12.815
Na 0.000 0.000 7.223
In 0.000 -2.692 3.932
In -2.331 1.346 3.932
In -2.704 -1.561 7.572
In 0.000 -3.122 6.873
In -2.704 1.561 6.873
In -2.331 -1.346 10.513
In 2.331 1.346 3.932
In 2.704 -1.561 7.572
In 0.000 3.122 7.572
In 2.704 1.561 6.873
In 2.331 -1.346 10.513
In 0.000 2.692 10.513
Au -2.768 -1.598 4.815
Au -2.768 1.598 9.630
Au 0.000 3.196 4.815
```

---

8.
A plane-wave DFT calculation with PBE was carried out for crystalline KNaIn2Au at its relaxed geometry.

Properties
As for the energy of formation from the pure elements: -0.12 eV per atom. Its density of states at the Fermi level is 0.4906 states/eV/atom.

Cell and atoms, written as extended XYZ:
```
5
Lattice="5.402 0.000 0.000 0.000 5.402 0.000 0.000 0.000 5.719" Properties=species:S:1:pos:R:3 pbc="T T T"
K 0.000 0.000 0.000
Na 2.701 2.701 0.000
In 0.000 2.701 2.859
In 2.701 0.000 2.859
Au 2.701 2.701 2.859
```

---

9.
A plane-wave DFT calculation with PBE was carried out for crystalline K2NaInAu2 at its relaxed geometry.

Properties
As for the energy of formation from the pure elements: -0.26 eV per atom. Its density of states at the Fermi level is 0.3114 states/eV/atom.

Cell and atoms, written as extended XYZ:
```
12
Lattice="5.149 0.000 0.000 0.000 8.640 0.000 0.000 0.000 8.295" Properties=species:S:1:pos:R:3 pbc="T T T"
K 0.000 1.137 0.000
K 0.000 7.502 4.148
K 2.574 1.345 2.746
K 2.574 7.295 6.893
Na 2.574 4.032 8.237
Na 2.574 4.608 4.089
In 0.000 2.703 5.146
In 0.000 5.937 0.999
Au 0.000 3.573 2.464
Au 0.000 5.067 6.612
Au 2.574 1.894 5.975
Au 2.574 6.746 1.827
```

---

10.
A plane-wave DFT calculation with PBE was carried out for crystalline K2Na5InAu2 at its relaxed geometry.

Properties
As for the energy of formation from the pure elements: -0.14 eV per atom. Its density of states at the Fermi level is 0.3950 states/eV/atom.

Cell and atoms, written as extended XYZ:
```
20
Lattice="11.969 0.000 0.000 0.000 11.969 0.000 0.000 0.000 4.458" Properties=species:S:1:pos:R:3 pbc="T T T"
K 2.096 3.889 0.000
K 3.889 9.873 0.000
K 8.081 2.096 0.000
K 9.873 8.081 0.000
Na 0.000 5.985 2.229
Na 0.779 9.512 2.229
Na 2.458 0.779 2.229
Na 3.527 6.764 2.229
Na 5.206 3.527 2.229
Na 5.985 0.000 2.229
Na 6.764 8.442 2.229
Na 8.442 5.206 2.229
Na 9.512 11.190 2.229
Na 11.190 2.458 2.229
In 0.000 0.000 0.000
In 5.985 5.985 0.000
Au 1.440 7.425 0.000
Au 4.545 1.440 0.000
Au 7.425 10.529 0.000
Au 10.529 4.545 0.000
```

---

11.
A plane-wave DFT calculation with PBE was carried out for crystalline K2Na6InAu at its relaxed geometry.

Properties
As for the energy of formation from the pure elements: -0.05 eV per atom. Its density of states at the Fermi level is 0.4302 states/eV/atom.

Cell and atoms, written as extended XYZ:
```
10
Lattice="5.943 -5.946 0.000 5.943 5.946 0.000 -5.855 0.000 5.958" Properties=species:S:1:pos:R:3 pbc="T T T"
K 5.943 2.970 0.000
K 5.943 -2.970 0.000
Na -0.041 0.000 2.982
Na -2.889 0.000 5.873
Na 3.015 3.058 2.979
Na 3.015 -3.058 2.979
Na 8.919 0.000 0.085
Na 6.071 0.000 2.975
In 3.015 0.000 2.979
Au -2.927 0.000 2.979
```

---

12.
A plane-wave DFT calculation with PBE was carried out for crystalline K2InAuO4 at its relaxed geometry.

Properties
Its density of states at the Fermi level is 0.0000 states/eV/atom. Its formation energy from raw total energies is -7.567 eV per formula unit.

Cell and atoms, written as extended XYZ:
```
16
Lattice="0.000 6.982 10.299 3.098 0.000 10.299 3.098 6.982 0.000" Properties=species:S:1:pos:R:3 pbc="T T T"
K 2.324 5.236 1.217
K 3.873 8.727 6.367
K 2.324 5.236 14.232
K 3.873 8.727 19.382
In 0.775 1.745 2.575
In 5.422 12.218 18.024
Au 2.324 5.236 7.725
Au 3.873 8.727 12.874
O 3.826 3.868 7.722
O 3.826 6.605 7.727
O 5.375 7.358 12.876
O 5.375 10.095 12.872
O 0.822 3.868 7.727
O 0.822 6.605 7.722
O 2.371 7.358 12.872
O 2.371 10.095 12.876
```